[1]
A relaxed VHg2F4 crystal. Source: Alexandria, functional GGA+U.

CIF file:
```
data_VHg2F4
_cell_length_a 4.0141
_cell_length_b 4.0141
_cell_length_c 18.3531
_cell_angle_alpha 90.00
_cell_angle_beta 90.00
_cell_angle_gamma 90.00
_symmetry_space_group_name_H-M 'I 4/m m m'
_symmetry_Int_Tables_number 139
_symmetry_space_group_name_Hall '-I 4 2'
loop_
_atom_site_label
_atom_site_type_symbol
_atom_site_fract_x
_atom_site_fract_y
_atom_site_fract_z
V1 V 0.0000 0.0000 0.0000
Hg1 Hg 0.0000 0.0000 0.2476
F1 F 0.0000 0.0000 0.1001
F2 F 0.0000 0.5000 0.0000
```


[2]
A relaxed VHgF5 crystal. Source: Alexandria, functional GGA+U.

CIF file:
```
data_VHgF5
_cell_length_a 4.0054
_cell_length_b 6.7574
_cell_length_c 8.2838
_cell_angle_alpha 90.00
_cell_angle_beta 90.00
_cell_angle_gamma 90.00
_symmetry_space_group_name_H-M 'I m m m'
_symmetry_Int_Tables_number 71
_symmetry_space_group_name_Hall '-I 2 2'
loop_
_atom_site_label
_atom_site_type_symbol
_atom_site_fract_x
_atom_site_fract_y
_atom_site_fract_z
V1 V 0.0000 0.0000 0.0000
Hg1 Hg 0.0000 0.0000 0.5000
F1 F 0.0000 0.0000 0.2349
F2 F 0.0000 0.2901 0.0000
F3 F 0.0000 0.5000 0.5000
```


[3]
A relaxed V3HgF crystal. Source: Alexandria, functional GGA+U.

CIF file:
```
data_V3HgF
_cell_length_a 5.3055
_cell_length_b 5.3055
_cell_length_c 5.3055
_cell_angle_alpha 90.00
_cell_angle_beta 90.00
_cell_angle_gamma 90.00
_symmetry_space_group_name_H-M 'P m -3 m'
_symmetry_Int_Tables_number 221
_symmetry_space_group_name_Hall '-P 4 2 3'
loop_
_atom_site_label
_atom_site_type_symbol
_atom_site_fract_x
_atom_site_fract_y
_atom_site_fract_z
V1 V 0.0000 0.0000 0.5000
Hg1 Hg 0.0000 0.0000 0.0000
F1 F 0.5000 0.5000 0.5000
```

Summary:
Energy above the lowest structure with this stoichiometry in meV per atom: 1004.1


[4]
A relaxed VHg2F8 crystal. Source: Alexandria, functional GGA+U.

CIF file:
```
data_VHg2F8
_cell_length_a 9.5464
_cell_length_b 7.5299
_cell_length_c 4.8113
_cell_angle_alpha 90.00
_cell_angle_beta 93.64
_cell_angle_gamma 90.00
_symmetry_space_group_name_H-M 'C 1 2/m 1'
_symmetry_Int_Tables_number 12
loop_
_symmetry_equiv_pos_as_xyz
'x,y,z'
'-x,-y,-z'
'-x,y,-z'
'x,-y,z'
'x+1/2,y+1/2,z'
'-x+1/2,-y+1/2,-z'
'-x+1/2,y+1/2,-z'
'x+1/2,-y+1/2,z'
loop_
_atom_site_label
_atom_site_type_symbol
_atom_site_fract_x
_atom_site_fract_y
_atom_site_fract_z
V1 V 0.0000 0.0000 0.0000
Hg1 Hg 0.1412 0.5000 0.2636
F1 F 0.0893 0.5000 0.7519
F2 F 0.1081 0.1769 0.1791
F3 F 0.1302 0.0000 0.7084
```


[5]
A relaxed V2HgF11 crystal. Source: Alexandria, functional GGA+U.

CIF file:
```
data_V2HgF11
_cell_length_a 8.1992
_cell_length_b 10.5438
_cell_length_c 10.5261
_cell_angle_alpha 90.00
_cell_angle_beta 90.00
_cell_angle_gamma 90.00
_symmetry_space_group_name_H-M 'I b a m'
_symmetry_Int_Tables_number 72
_symmetry_space_group_name_Hall '-I 2 2c'
loop_
_atom_site_label
_atom_site_type_symbol
_atom_site_fract_x
_atom_site_fract_y
_atom_site_fract_z
V1 V 0.2048 0.0952 0.0000
Hg1 Hg 0.0000 0.5000 0.2500
F1 F 0.0000 0.0000 0.0000
F2 F 0.0967 0.3346 0.5000
F3 F 0.1327 0.1864 0.1292
F4 F 0.2152 0.4722 0.1205
```


[6]
A relaxed VHgF3 crystal. Source: Alexandria, functional GGA+U.

CIF file:
```
data_VHgF3
_cell_length_a 4.5661
_cell_length_b 4.5661
_cell_length_c 4.5661
_cell_angle_alpha 90.00
_cell_angle_beta 90.00
_cell_angle_gamma 90.00
_symmetry_space_group_name_H-M 'P m -3 m'
_symmetry_Int_Tables_number 221
_symmetry_space_group_name_Hall '-P 4 2 3'
loop_
_atom_site_label
_atom_site_type_symbol
_atom_site_fract_x
_atom_site_fract_y
_atom_site_fract_z
V1 V 0.0000 0.0000 0.0000
Hg1 Hg 0.5000 0.5000 0.5000
F1 F 0.0000 0.5000 0.5000
```

Summary:
Energy above the lowest structure with this stoichiometry in meV per atom: 1386.0


[7]
A relaxed VHg3F crystal. Source: Alexandria, functional GGA+U.

CIF file:
```
data_VHg3F
_cell_length_a 4.9990
_cell_length_b 4.9990
_cell_length_c 4.9990
_cell_angle_alpha 90.00
_cell_angle_beta 90.00
_cell_angle_gamma 90.00
_symmetry_space_group_name_H-M 'P m -3 m'
_symmetry_Int_Tables_number 221
_symmetry_space_group_name_Hall '-P 4 2 3'
loop_
_atom_site_label
_atom_site_type_symbol
_atom_site_fract_x
_atom_site_fract_y
_atom_site_fract_z
V1 V 0.0000 0.0000 0.0000
Hg1 Hg 0.0000 0.5000 0.5000
F1 F 0.5000 0.5000 0.5000
```

Summary:
Energy above the lowest structure with this stoichiometry in meV per atom: 57.5


[8]
A relaxed VHg2F crystal. Source: Alexandria, functional GGA+U.

CIF file:
```
data_VHg2F
_cell_length_a 7.8124
_cell_length_b 7.8124
_cell_length_c 5.4053
_cell_angle_alpha 90.00
_cell_angle_beta 90.00
_cell_angle_gamma 90.00
_symmetry_space_group_name_H-M 'I -4 2 d'
_symmetry_Int_Tables_number 122
_symmetry_space_group_name_Hall 'I -4 2bw'
loop_
_atom_site_label
_atom_site_type_symbol
_atom_site_fract_x
_atom_site_fract_y
_atom_site_fract_z
V1 V 0.0000 0.0000 0.0000
Hg1 Hg 0.2323 0.2500 0.6250
F1 F 0.0000 0.0000 0.5000
```


| no. | final energy (eV/atom) |
| --- | --- |
| 1 | -4.135 |
| 2 | -4.604 |
| 3 | -3.581 |
| 4 | -4.073 |
| 5 | -4.820 |
| 6 | -3.443 |
| 7 | -1.769 |
| 8 | -2.689 |